(1)
Material: DyPuMg
Method: DFT, PBE
State: relaxed

Cell and atoms, written as POSCAR:
```
DyPuMg
1.0
7.3464 0.0000 0.0000
0.0000 7.3464 0.0000
0.0000 0.0000 7.3464
Dy Pu Mg
4 4 4
Direct
0.0000 0.0000 0.0000
0.0000 0.5000 0.5000
0.5000 0.0000 0.5000
0.5000 0.5000 0.0000
0.0000 0.0000 0.5000
0.0000 0.5000 0.0000
0.5000 0.0000 0.0000
0.5000 0.5000 0.5000
0.2500 0.2500 0.2500
0.2500 0.7500 0.7500
0.7500 0.2500 0.7500
0.7500 0.7500 0.2500
```

Results
**ρ**: 7.22 g/cm³
**Electronic total energy**: -6.200 eV per atom

=====

(2)
Material: DyMg2S3
Method: DFT, PBE
State: relaxed

Cell and atoms, written as POSCAR:
```
DyMg2S3
1.0
3.7171 0.0000 0.0000
-1.8586 3.2191 0.0000
0.0000 0.0000 9.4543
Dy Mg S
1 2 3
Direct
0.0000 0.0000 0.0000
0.3333 0.6667 0.6587
0.6667 0.3333 0.3413
0.0000 0.0000 0.5000
0.3333 0.6667 0.1855
0.6667 0.3333 0.8145
```

Results
**ρ**: 4.51 g/cm³
**Electronic total energy**: -4.901 eV per atom

=====

(3)
Material: Dy2MgS3
Method: DFT, PBE
State: relaxed

Cell and atoms, written as POSCAR:
```
Dy2MgS3
1.0
3.8150 0.0000 0.0000
-1.9075 3.3039 0.0000
0.0000 0.0000 9.5498
Dy Mg S
2 1 3
Direct
0.3333 0.6667 0.1600
0.6667 0.3333 0.8400
0.0000 0.0000 0.5000
0.0000 0.0000 0.0000
0.3333 0.6667 0.6521
0.6667 0.3333 0.3479
```

Results
**ρ**: 6.15 g/cm³
**Electronic total energy**: -5.631 eV per atom

=====

(4)
Material: DyMgTlS3
Method: DFT, PBE
State: relaxed

Cell and atoms, written as POSCAR:
```
DyMgTlS3
1.0
10.8192 0.0000 0.0000
0.0000 4.0727 0.0000
0.0000 0.0000 14.2379
Dy Mg Tl S
4 4 4 12
Direct
0.0122 0.2500 0.2448
0.4878 0.7500 0.7448
0.5122 0.2500 0.2552
0.9878 0.7500 0.7552
0.2377 0.2500 0.7109
0.2623 0.7500 0.2109
0.7377 0.2500 0.7891
0.7623 0.7500 0.2891
0.2281 0.7500 0.4935
0.2719 0.2500 0.9935
0.7281 0.7500 0.0065
0.7719 0.2500 0.5065
0.0432 0.2500 0.6299
0.0725 0.7500 0.1250
0.2391 0.7500 0.8088
0.2609 0.2500 0.3088
0.4275 0.2500 0.6250
0.4568 0.7500 0.1299
0.5432 0.2500 0.8701
0.5725 0.7500 0.3750
0.7391 0.7500 0.6912
0.7609 0.2500 0.1912
0.9275 0.2500 0.8750
0.9568 0.7500 0.3701
```

Results
**ρ**: 5.16 g/cm³
**Electronic total energy**: -4.873 eV per atom

=====

(5)
Material: DyMgTlS3
Method: DFT, PBE
State: relaxed

Cell and atoms, written as POSCAR:
```
DyMgTlS3
1.0
2.0378 -7.1342 0.0000
2.0378 7.1342 0.0000
0.0000 0.0000 10.7914
Dy Mg Tl S
2 2 2 6
Direct
0.0000 0.0000 0.0000
0.0000 0.0000 0.5000
0.4638 0.5362 0.7500
0.5362 0.4638 0.2500
0.2517 0.7483 0.2500
0.7483 0.2517 0.7500
0.0606 0.9394 0.7500
0.3783 0.6217 0.5590
0.3783 0.6217 0.9410
0.6217 0.3783 0.0590
0.6217 0.3783 0.4410
0.9394 0.0606 0.2500
```

Results
**ρ**: 5.16 g/cm³
**Electronic total energy**: -4.871 eV per atom

=====

(6)
Material: Dy2MgSb2
Method: DFT, PBE
State: relaxed

Cell and atoms, written as POSCAR:
```
Dy2MgSb2
1.0
2.2575 -9.2157 0.0000
2.2575 9.2157 0.0000
0.0000 0.0000 6.5017
Dy Mg Sb
4 2 4
Direct
0.0119 0.9881 0.5000
0.1984 0.8016 0.1888
0.8016 0.1984 0.6888
0.9881 0.0119 0.0000
0.3998 0.6002 0.2867
0.6002 0.3998 0.7867
0.1831 0.8169 0.6822
0.4166 0.5834 0.7312
0.5834 0.4166 0.2312
0.8169 0.1831 0.1822
```

Results
**ρ**: 7.28 g/cm³
**Electronic total energy**: -4.536 eV per atom

=====

(7)
Material: DyMg3Se
Method: DFT, PBE
State: relaxed

Cell and atoms, written as POSCAR:
```
DyMg3Se
1.0
5.1370 0.0000 0.0000
0.0000 5.1370 0.0000
0.0000 0.0000 5.1370
Dy Mg Se
1 3 1
Direct
0.0000 0.0000 0.0000
0.0000 0.5000 0.5000
0.5000 0.0000 0.5000
0.5000 0.5000 0.0000
0.5000 0.5000 0.5000
```

Results
**ρ**: 3.85 g/cm³
**Electronic total energy**: -2.527 eV per atom

=====

(8)
Material: DyMgSi
Method: DFT, PBE
State: relaxed

Cell and atoms, written as POSCAR:
```
DyMgSi
1.0
6.5739 0.0000 0.0000
0.0000 6.5739 0.0000
0.0000 0.0000 6.5739
Dy Mg Si
4 4 4
Direct
0.0000 0.0000 0.0000
0.0000 0.5000 0.5000
0.5000 0.0000 0.5000
0.5000 0.5000 0.0000
0.0000 0.0000 0.5000
0.0000 0.5000 0.0000
0.5000 0.0000 0.0000
0.5000 0.5000 0.5000
0.2500 0.2500 0.2500
0.2500 0.7500 0.7500
0.7500 0.2500 0.7500
0.7500 0.7500 0.2500
```

Results
**ρ**: 5.02 g/cm³
**Electronic total energy**: -4.240 eV per atom